VASP calculation (PBE) on Cr2TcSb after structural relaxation.

Lattice parameters (Å, degrees): 8.219 8.219 8.219 20.84 20.84 20.84
Last column: magnetic moment on the atom in μB.
Positions (direct):
Cr (0.996, 0.996, 0.996)  -0.52
Cr (0.261, 0.261, 0.261)  0.94
Sb (0.502, 0.502, 0.502)  -0.02
Tc (0.741, 0.741, 0.741)  0.12

Magnetization (μB/f.u.): 0.546
Formation energy (no corrections) (eV/atom): 0.480
E (eV/atom): -7.95
Density of states at the Fermi level (states/eV/atom): 0.8129